The following is a GGA-PBE calculation of an optimized crystal structure of GdTaNO, from OQMD via LeMat-Bulk.

The structure in extended XYZ format:
```
16
Lattice="-1.680 -2.293 -5.613 7.159 -2.120 -1.277 -0.966 -4.557 2.151" Properties=species:S:1:pos:R:3 pbc="T T T"
N 1.780 -1.825 -2.812
O -1.208 -4.341 -1.856
Gd 2.458 -0.985 -0.769
O 6.061 -5.098 -0.197
O -1.343 -2.906 -4.998
N 3.176 -5.056 -2.912
Gd 1.343 -4.127 -1.807
Ta 5.794 -2.167 -1.746
Gd 2.504 -5.866 -4.970
Ta 4.898 -5.009 -2.049
O 5.925 -3.663 -3.338
Ta -0.837 -4.706 -3.983
N 1.898 -3.283 0.272
Ta 0.059 -1.864 -3.679
N 3.058 -3.598 -5.997
Gd 3.620 -2.724 -3.932
```

Computed properties:
* magnetization: 0.00 μB/atom
* E_tot: -8.99 eV/atom
* ρ: 10.00 g/cm3
* symmetry: Pca2_1